! meta-GGA SCAN Y2CuSe, PBEsol geometry; values from VASP
! symmetry = P4/mmm
! formation energy without anion corrections = -4.27 eV/f.u.
! relative energy among the computed polymorphs = 26 meV per atom
! calculated volume = 22.85 A^3/atom
! calculated total energy = -23.81 eV per atom
&SYSTEM
  ibrav = 0, nat = 4, ntyp = 3
/
ATOMIC_SPECIES
Y 88.91 Y.upf
Cu 63.55 Cu.upf
Se 78.96 Se.upf
ATOMIC_POSITIONS angstrom
Y 0.0000 0.0000 0.0000
Y 1.9947 1.9947 2.8712
Cu 0.0000 0.0000 2.8712
Se 1.9947 1.9947 0.0000
CELL_PARAMETERS angstrom
3.9893 0.0000 0.0000
0.0000 3.9893 0.0000
0.0000 0.0000 5.7423



! meta-GGA SCAN AlCo2As, PBEsol geometry; values from VASP
! symmetry = Fm-3m
! relative energy among the computed polymorphs = 13 meV per atom
! calculated volume = 11.75 A^3/atom
! calculated total energy = -15.89 eV per atom
! ΔH_f (0 K) = -0.248 eV per atom
&SYSTEM
  ibrav = 0, nat = 4, ntyp = 3
/
ATOMIC_SPECIES
Al 26.98 Al.upf
Co 58.93 Co.upf
As 74.92 As.upf
ATOMIC_POSITIONS angstrom
Al 0.0000 0.0000 0.0000
Co 1.4322 1.4322 1.4322
Co 4.2967 4.2967 4.2967
As 2.8645 2.8645 2.8645
CELL_PARAMETERS angstrom
0.0000 2.8645 2.8645
2.8645 0.0000 2.8645
2.8645 2.8645 0.0000



The highest calculated total energy belongs to which entry? AlCo2As



Which value of relative energy among the computed polymorphs does entry 1 give? 26 meV per atom



Which of these has the highest calculated volume? Y2CuSe